# 1
PrHfSi | GGA-PBE | relaxed

Output
uncorrected formation energy	-158	kJ/mol of formula units

Cell: 4.2774 4.2774 7.9229 Å, 90.00 90.00 90.00°
Element x y z (fractional)
Pr: 0.2500 0.2500 0.1465
Pr: 0.7500 0.7500 0.8535
Hf: 0.2500 0.7500 0.5000
Hf: 0.7500 0.2500 0.5000
Si: 0.2500 0.2500 0.7320
Si: 0.7500 0.7500 0.2680


# 2
Pr2Hf3Si4 | GGA-PBE | relaxed

Output
uncorrected formation energy	-664	kJ/mol of formula units

Cell: 7.3931 7.4053 7.2076 Å, 90.00 108.56 90.00°
Element x y z (fractional)
Pr: 0.1877 0.1680 0.0697
Pr: 0.1877 0.3320 0.5697
Pr: 0.8123 0.6680 0.4303
Pr: 0.8123 0.8320 0.9303
Hf: 0.2554 0.6757 0.2510
Hf: 0.2554 0.8243 0.7510
Hf: 0.5000 0.0000 0.5000
Hf: 0.5000 0.5000 0.0000
Hf: 0.7446 0.1757 0.2490
Hf: 0.7446 0.3243 0.7490
Si: 0.0856 0.5376 0.8748
Si: 0.0856 0.9624 0.3748
Si: 0.4952 0.1248 0.8687
Si: 0.4952 0.3752 0.3687
Si: 0.5048 0.6248 0.6313
Si: 0.5048 0.8752 0.1313
Si: 0.9144 0.0376 0.6252
Si: 0.9144 0.4624 0.1252


# 3
PrHfSi2 | GGA-PBE | relaxed

Output
uncorrected formation energy	-192	kJ/mol of formula units

Cell: 6.9909 6.9909 6.9909 Å, 33.46 33.46 33.46°
Element x y z (fractional)
Pr: 0.0000 0.0000 0.0000
Hf: 0.5000 0.5000 0.5000
Si: 0.2376 0.2376 0.2376
Si: 0.7624 0.7624 0.7624


# 4
PrSmHf | GGA-PBE | relaxed

Output
energy above the lowest structure with this stoichiometry	21	meV/atom
formation energy	190	meV/atom

Cell: 3.4463 3.4463 8.7238 Å, 90.00 90.00 120.00°
Element x y z (fractional)
Pr: 0.0000 0.0000 0.0000
Sm: 0.6667 0.3333 0.3877
Hf: 0.3333 0.6667 0.6899


Question: Number 4 is which compound?
Answer: PrSmHf


Question: Number 3 is which compound?
Answer: PrHfSi2


Question: Number 2 is which compound?
Answer: Pr2Hf3Si4